# 1
PBE Pr4Hg3Pb, optimized geometry; energy = -27.66 eV per formula unit
1.0
2.744 1.584 9.062
-2.744 1.584 9.062
0.000 -3.169 9.062
Pr Hg Pb
4 3 1
direct
0.124 0.124 0.124
0.373 0.373 0.373
0.627 0.627 0.627
0.876 0.876 0.876
0.000 0.000 0.000
0.253 0.253 0.253
0.747 0.747 0.747
0.500 0.500 0.500

---

# 2
PBE SmBiSb, optimized geometry; formation energy from raw total energies = -2.01 eV/f.u.
1.0
2.258 -8.610 0.000
2.258 8.610 0.000
0.000 0.000 4.541
Sm Bi Sb
2 2 2
direct
0.108 0.892 0.750
0.892 0.108 0.250
0.429 0.571 0.750
0.571 0.429 0.250
0.250 0.750 0.250
0.750 0.250 0.750

---

# 3
PBE Li2FeNiN, optimized geometry; formation energy from raw total energies = -0.19 eV/f.u.
1.0
3.852 0.000 0.000
0.000 3.852 0.000
0.000 0.000 3.547
Li Fe Ni N
2 1 1 1
direct
0.000 0.500 0.000
0.500 0.000 0.000
0.000 0.000 0.500
0.500 0.500 0.500
0.000 0.000 0.000

---

# 4
PBE Sr2HAu, optimized geometry; energy = -11.70 eV per formula unit
1.0
-3.650 3.650 4.122
3.650 -3.650 4.122
3.650 3.650 -4.122
Sr H Au
4 2 2
direct
0.054 0.625 0.929
0.375 0.304 0.429
0.696 0.125 0.071
0.875 0.946 0.571
0.000 0.000 0.000
0.750 0.250 0.500
0.250 0.750 0.500
0.500 0.500 0.000

---

# 5
PBE Th3Mg4Rh4, optimized geometry; energy = -64.78 eV per formula unit
1.0
-1.909 4.062 7.626
1.909 -4.062 7.626
1.909 4.062 -7.626
Th Mg Rh
3 4 4
direct
0.000 0.000 0.000
0.389 0.889 0.500
0.611 0.111 0.500
0.008 0.324 0.684
0.360 0.676 0.684
0.640 0.324 0.316
0.992 0.676 0.316
0.253 0.253 0.000
0.271 0.500 0.771
0.729 0.500 0.229
0.747 0.747 0.000

---

# 6
PBE PrErHgPb, optimized geometry; energy = -15.23 eV per formula unit
1.0
3.849 0.000 0.000
0.000 3.849 0.000
0.000 0.000 7.585
Pr Er Hg Pb
1 1 1 1
direct
0.000 0.000 0.000
0.000 0.000 0.519
0.500 0.500 0.735
0.500 0.500 0.272

---

# 7
PBE Cd5Hg2Sb, optimized geometry; formation energy from raw total energies = 0.17 eV/f.u.
1.0
2.535 -4.378 0.000
2.535 4.378 0.000
0.000 0.000 19.775
Cd Hg Sb
10 4 2
direct
0.078 0.922 0.610
0.078 0.922 0.890
0.142 0.858 0.250
0.411 0.589 0.568
0.411 0.589 0.932
0.589 0.411 0.068
0.589 0.411 0.432
0.858 0.142 0.750
0.922 0.078 0.110
0.922 0.078 0.390
0.253 0.747 0.075
0.253 0.747 0.425
0.747 0.253 0.575
0.747 0.253 0.925
0.197 0.803 0.750
0.803 0.197 0.250

---

# 8
PBE CsSn2I, optimized geometry; formation energy from raw total energies = 1.13 eV/f.u.
1.0
0.000 4.233 4.233
4.233 0.000 4.233
4.233 4.233 0.000
Cs Sn I
1 2 1
direct
0.000 0.000 0.000
0.250 0.250 0.250
0.750 0.750 0.750
0.500 0.500 0.500

---

# 9
PBE FeNi2Br, optimized geometry; formation energy from raw total energies = 3.00 eV/f.u.
1.0
-3.010 3.010 3.942
3.010 -3.010 3.942
3.010 3.010 -3.942
Fe Ni Br
2 4 2
direct
0.000 0.000 0.000
0.750 0.250 0.500
0.111 0.125 0.486
0.375 0.889 0.014
0.639 0.625 0.514
0.875 0.361 0.986
0.250 0.750 0.500
0.500 0.500 0.000

---

# 10
PBE Mg2NbRuSe, optimized geometry; formation energy from raw total energies = 3.57 eV/f.u.
1.0
4.955 0.000 0.000
0.000 4.955 0.000
0.000 0.000 4.598
Mg Nb Ru Se
2 1 1 1
direct
0.000 0.500 0.000
0.500 0.000 0.000
0.000 0.000 0.500
0.500 0.500 0.000
0.500 0.500 0.500

---

# 11
PBE Tb7Pm2Y3, optimized geometry; energy = -60.45 eV per formula unit
1.0
6.367 0.000 0.000
0.000 3.538 0.000
-1.869 0.000 17.417
Tb Pm Y
7 2 3
direct
0.000 0.000 0.000
0.226 0.500 0.167
0.256 0.500 0.498
0.274 0.000 0.835
0.726 0.000 0.165
0.744 0.500 0.502
0.774 0.500 0.833
0.059 0.500 0.672
0.941 0.500 0.328
0.452 0.000 0.342
0.500 0.500 0.000
0.548 0.000 0.658

---

# 12
PBE TlRuBrO4, optimized geometry; formation energy from raw total energies = -4.77 eV/f.u.
1.0
5.970 -4.022 0.000
5.970 4.022 0.000
-1.395 0.000 7.375
Tl Ru Br O
2 2 2 8
direct
0.179 0.179 0.034
0.821 0.821 0.966
0.361 0.361 0.734
0.639 0.639 0.266
0.023 0.023 0.270
0.977 0.977 0.730
0.140 0.463 0.846
0.305 0.305 0.506
0.463 0.140 0.846
0.493 0.493 0.210
0.507 0.507 0.790
0.537 0.860 0.154
0.695 0.695 0.494
0.860 0.537 0.154

---

Ordered calculated volume results: 236.4, 176.6, 52.6, 219.7, 236.6, 112.4, 439.0, 151.7, 142.9, 112.9, 392.4, 354.1; unit Å³/cell.
Ordered total magnetization results: 1.74, 0.00, 1.57, 0.00, 0.00, 0.00, 0.00, 0.00, 4.04, 3.61, 0.00, 0.00; unit μB per formula unit.